! MnFe4O2 (PBE with a Hubbard U, optimized geometry); values from VASP
! DFT total energy = -4.92 eV/atom
! calculated density = 3.901 g cm⁻³
! total magnetization = 19.91 μB per formula unit
&SYSTEM
  ibrav = 0, nat = 7, ntyp = 3
/
ATOMIC_SPECIES
Fe 55.84 Fe.upf
O 16.00 O.upf
Mn 54.94 Mn.upf
CELL_PARAMETERS angstrom
4.769 0.000 0.000
0.000 4.769 0.000
2.384 2.384 5.809
ATOMIC_POSITIONS crystal
Fe 0.239 0.239 0.522
Fe 0.500 0.000 0.000
Fe 0.761 0.761 0.478
Fe 0.000 0.500 0.000
O 0.603 0.603 0.793
O 0.397 0.397 0.207
Mn 0.000 0.000 0.000